1.
12
Lattice="5.5829 0.0000 0.0000 -2.7914 4.8349 0.0000 0.0000 0.0000 9.2117" Properties=species:S:1:pos:R:3 comment="NdY3Al8, optimized geometry, DFT PBE-GGA" e_form_ev_per_atom=-0.511 de_polymorph_mev_per_atom=9 pbc="T T T"
Al 4.1506 2.3963 6.9359
Al 0.0000 3.2233 0.0139
Y 2.7914 1.6116 3.9706
Al 1.4323 2.3963 6.9359
Y 2.7914 1.6116 0.6148
Al 0.0000 1.5697 2.2828
Al 0.0000 3.2233 4.5931
Al 2.7914 0.0422 6.9359
Al 1.4321 4.0501 2.2828
Nd 0.0000 0.0000 5.2324
Y 0.0000 0.0000 8.5842
Al -1.4321 4.0501 2.2828

2.
4
Lattice="-1.1845 -2.6478 0.0115 0.6352 -0.2719 2.8172 -9.7493 4.3726 2.6203" Properties=species:S:1:pos:R:3 comment="KMg2Mo, optimized geometry, DFT PBE-GGA" e_form_ev_per_atom=0.665 de_polymorph_mev_per_atom=129 pbc="T T T"
Mg -0.3555 0.1594 0.0955
K -7.4133 1.7418 3.3329
Mo -4.4915 2.0144 1.2071
Mg -2.9131 -0.2765 2.1235

3.
4
Lattice="10.0682 0.0393 0.0231 9.6397 2.9062 0.0231 9.6397 1.4408 2.5241" Properties=species:S:1:pos:R:3 comment="FeTcAs2, optimized geometry, DFT PBE-GGA" e_form_ev_per_atom=0.110 de_polymorph_mev_per_atom=141 pbc="T T T"
Fe 14.4898 2.1657 1.2690
Tc 22.2480 3.3252 1.9484
As 6.5017 0.9718 0.5694
As 0.7817 0.1168 0.0685

4.
19
Lattice="7.6800 0.0567 0.9695 0.8619 7.6317 0.9695 0.0630 0.0567 7.7407" Properties=species:S:1:pos:R:3 comment="SrPrCd17, optimized geometry, DFT PBE-GGA" e_form_ev_per_atom=-0.165 pbc="T T T"
Cd 3.1836 2.8655 7.0432
Cd 0.5007 3.7275 0.5632
Cd 6.6217 2.8655 3.9869
Cd 2.9728 5.4310 8.7042
Cd 5.7128 2.3868 8.7042
Cd 5.1477 1.1572 5.7907
Cd 3.5442 6.2846 3.9869
Pr 5.7607 5.1851 6.4803
Cd 0.8272 0.7445 0.9305
Cd 8.2960 5.4310 3.9721
Cd 3.2100 7.6806 6.6933
Cd 1.6907 4.9979 5.7907
Cd 6.2711 7.6806 3.9721
Cd 5.5527 4.9979 2.3575
Cd 7.7154 6.9445 8.6791
Cd 3.7595 0.1070 0.5632
Cd 0.1189 0.1070 3.7996
Cd 7.9749 2.3868 6.6933
Sr 2.8855 2.5972 3.2459

5.
4
Lattice="-0.5776 -2.9751 1.3433 3.0908 -0.9372 -0.7468 2.3022 2.4606 6.4397" Properties=species:S:1:pos:R:3 comment="Mg2InCu, optimized geometry, DFT PBE-GGA" e_form_ev_per_atom=0.004 pbc="T T T"
Mg 1.9284 -1.2382 2.1772
In 2.9031 -0.1964 4.9038
Cu 1.1290 1.2067 3.1581
Mg 0.0061 0.0065 0.0170

6.
4
Lattice="3.9465 0.0000 0.0000 0.0000 2.6418 0.0011 0.0000 1.1187 4.7191" Properties=species:S:1:pos:R:3 comment="BeCoRe2, optimized geometry, DFT PBE-GGA" e_form_ev_per_atom=-0.020 pbc="T T T"
Co 1.9732 2.3524 3.4665
Be 0.0000 2.3511 2.3931
Re 0.0000 3.7123 4.6262
Re 1.9732 0.9855 1.3146

7.
5
Lattice="-5.4897 -0.2179 1.1936 0.4922 -3.2766 1.6659 0.9567 2.6244 4.8792" Properties=species:S:1:pos:R:3 comment="CaOsBr2N, optimized geometry, DFT PBE-GGA" e_form_raw_mev_per_atom=192 pbc="T T T"
Ca -2.0204 -0.4350 3.8693
Os 0.2461 -1.6383 0.8329
Br 0.4783 1.3122 2.4396
Br -2.7449 -0.1089 0.5968
N 0.0000 0.0000 0.0000

8.
5
Lattice="-3.0888 2.4159 -1.5599 -2.4339 -3.4155 -0.4704 -1.5317 0.5554 3.8931" Properties=species:S:1:pos:R:3 comment="MgBP3, optimized geometry, DFT PBE-GGA" e_form_ev_per_atom=0.631 de_polymorph_mev_per_atom=0 pbc="T T T"
P -0.7659 0.2777 1.9465
P -1.5444 1.2080 -0.7800
Mg -3.5272 -0.2221 0.9314
P -1.2170 -1.7077 -0.2352
B 0.0000 0.0000 0.0000

9.
8
Lattice="4.8668 0.0391 0.0599 -2.0383 4.4195 -0.0599 -2.0383 -1.8334 4.0218" Properties=species:S:1:pos:R:3 comment="Li2CaSO4, optimized geometry, DFT PBE-GGA" e_form_raw_mev_per_atom=-1576 pbc="T T T"
Li 0.0000 0.0000 0.0000
O 1.3350 1.0700 1.1429
Ca 0.3950 -0.2506 3.0313
O -1.6392 2.7037 1.0032
S -2.0383 1.2931 1.9809
Li 0.3950 2.8758 0.9905
O -0.9323 1.8010 3.2553
O 2.8166 -0.3242 2.6421

10.
20
Lattice="-3.1578 3.1657 -0.2490 -5.4309 -5.6851 -3.4031 -4.7594 -3.6679 13.7228" Properties=species:S:1:pos:R:3 comment="Th3TcSb, optimized geometry, DFT PBE-GGA" e_form_raw_mev_per_atom=-444 de_polymorph_mev_per_atom=0 pbc="T T T"
Tc -7.9316 -5.9429 4.8938
Tc -6.3671 -1.7267 -1.6136
Th -5.1249 -3.0818 5.6760
Sb -5.5283 -3.7444 2.3681
Th -7.9505 -5.7570 7.4972
Sb -11.2325 -5.8227 8.0112
Th -8.2232 -3.1055 4.3946
Sb -2.1156 -0.3645 2.0594
Th -5.4077 -0.0121 8.0176
Th -10.1617 -7.7133 10.6676
Th -5.3976 -0.4302 2.5734
Th -3.1863 1.5260 -0.5970
Sb -7.8198 -2.4429 7.7025
Th -7.9404 -6.1752 2.0530
Tc -6.9810 -4.4605 11.6842
Tc -5.4165 -0.2444 5.1768
Th -9.5021 -3.9173 10.2918
Th -7.8383 -3.0610 0.0798
Th -3.8460 -2.2700 -0.2212
Th -5.5098 -3.1262 9.9908

11.
10
Lattice="4.5801 -0.0045 0.0038 0.4348 7.2846 -0.0139 -0.0191 -0.7245 3.7229" Properties=species:S:1:pos:R:3 comment="YMoN3, optimized geometry, DFT PBE-GGA" e_form_raw_mev_per_atom=-594 pbc="T T T"
Mo 2.5828 4.4200 2.0316
N 2.1396 2.4897 1.7686
Y 2.0994 0.7511 3.2948
Mo 4.3412 2.5938 1.8848
N 2.5453 5.4760 0.3157
N 4.3788 1.5379 3.6007
N 4.3955 0.3245 2.8437
N 2.5286 6.6894 1.0727
Y 4.8247 6.2627 0.6215
N 4.7844 4.5242 2.1478

12.
4
Lattice="2.7583 0.0000 0.0000 0.0000 2.7583 0.0000 0.0000 0.0000 5.9375" Properties=species:S:1:pos:R:3 comment="MnGaHOs, optimized geometry, DFT PBE-GGA" de_polymorph_mev_per_atom=49 pbc="T T T"
H 1.3792 1.3792 1.6932
Os 0.0000 0.0000 2.1307
Ga 0.0000 0.0000 5.4921
Mn 1.3792 1.3792 3.7364

Copy entry 1 word for word.
12
Lattice="5.5829 0.0000 0.0000 -2.7914 4.8349 0.0000 0.0000 0.0000 9.2117" Properties=species:S:1:pos:R:3 comment="NdY3Al8, optimized geometry, DFT PBE-GGA" e_form_ev_per_atom=-0.511 de_polymorph_mev_per_atom=9 pbc="T T T"
Al 4.1506 2.3963 6.9359
Al 0.0000 3.2233 0.0139
Y 2.7914 1.6116 3.9706
Al 1.4323 2.3963 6.9359
Y 2.7914 1.6116 0.6148
Al 0.0000 1.5697 2.2828
Al 0.0000 3.2233 4.5931
Al 2.7914 0.0422 6.9359
Al 1.4321 4.0501 2.2828
Nd 0.0000 0.0000 5.2324
Y 0.0000 0.0000 8.5842
Al -1.4321 4.0501 2.2828